Density functional theory data (PBE) for an optimized crystal structure of KCr2Se.

Values from the calculation:
Calculated volume: 94.7 Å³/f.u.

Unit cell a=4.094 b=3.331 c=6.941 alpha=89.91 beta=90.00 gamma=90.00
Site moments in Bohr magnetons follow the coordinates.
Sites, in units of the cell vectors:
Cr1 0.000 0.875 0.060  3.39
Cr2 0.500 0.374 0.087  -2.83
K1 0.000 0.376 0.530  0.00
Se1 0.500 0.875 0.824  0.06

=====

Density functional theory data (PBE) for an optimized crystal structure of KCr2Se.

Values from the calculation:
Calculated volume: 98.3 Å³/f.u.

Unit cell a=5.158 b=5.158 c=5.158 alpha=119.08 beta=119.08 gamma=91.60
Site moments in Bohr magnetons follow the coordinates.
Sites, in units of the cell vectors:
Cr1 0.000 0.000 0.000  4.11
Cr2 0.250 0.750 0.500  4.29
K1 0.500 0.500 0.000  0.04
Se1 0.750 0.250 0.500  0.02

=====

Density functional theory data (PBE) for an optimized crystal structure of KCr2Se.

Values from the calculation:
Calculated volume: 99.3 Å³/f.u.

Unit cell a=4.523 b=4.523 c=6.921 alpha=79.70 beta=79.70 gamma=45.62
Site moments in Bohr magnetons follow the coordinates.
Sites, in units of the cell vectors:
Cr1 0.994 0.994 0.033  3.44
Cr2 0.277 0.277 0.102  -2.74
K1 0.495 0.495 0.510  0.00
Se1 0.735 0.735 0.856  0.05

=====

Density functional theory data (PBE) for an optimized crystal structure of KCr4Se6.

Values from the calculation:
Calculated volume: 234.7 Å³/f.u.

Unit cell a=3.781 b=6.603 c=19.624 alpha=90.00 beta=90.00 gamma=106.64
Site moments in Bohr magnetons follow the coordinates.
Sites, in units of the cell vectors:
K1 0.662 0.323 0.250  0.00
K2 0.338 0.677 0.750  0.00
Cr1 0.863 0.727 0.540  3.37
Cr2 0.412 0.825 0.130  3.12
Cr3 0.137 0.273 0.460  3.37
Cr4 0.588 0.175 0.870  3.12
Cr5 0.863 0.727 0.960  3.37
Cr6 0.137 0.273 0.040  3.37
Cr7 0.588 0.175 0.630  3.12
Cr8 0.412 0.825 0.370  3.12
Se1 0.500 0.000 0.000  -0.13
Se2 0.500 0.000 0.500  -0.13
Se3 0.037 0.074 0.352  -0.15
Se4 0.963 0.926 0.648  -0.15
Se5 0.963 0.926 0.852  -0.15
Se6 0.037 0.074 0.148  -0.15
Se7 0.776 0.552 0.421  -0.10
Se8 0.224 0.448 0.579  -0.10
Se9 0.224 0.448 0.921  -0.10
Se10 0.776 0.552 0.079  -0.10
Se11 0.358 0.715 0.250  -0.21
Se12 0.642 0.285 0.750  -0.21

=====

Density functional theory data (PBE) for an optimized crystal structure of K2CrSe3.

Values from the calculation:
Calculated volume: 167.7 Å³/f.u.

Unit cell a=7.545 b=7.545 c=6.802 alpha=90.00 beta=90.00 gamma=120.00
Site moments in Bohr magnetons follow the coordinates.
Sites, in units of the cell vectors:
K1 0.667 0.333 0.000  -0.01
K2 0.333 0.667 0.500  -0.01
K3 0.333 0.667 0.000  -0.01
K4 0.667 0.333 0.500  -0.01
Cr1 0.000 0.000 0.000  2.71
Cr2 0.000 0.000 0.500  2.71
Se1 0.746 0.746 0.750  -0.20
Se2 0.000 0.254 0.750  -0.20
Se3 0.254 0.000 0.750  -0.20
Se4 0.254 0.254 0.250  -0.20
Se5 0.000 0.746 0.250  -0.20
Se6 0.746 0.000 0.250  -0.20

=====

Density functional theory data (PBE) for an optimized crystal structure of KCrSe4.

Values from the calculation:
Energy above the most stable polymorph in this dataset: 653 meV/atom
Calculated volume: 144.9 Å³/f.u.

Unit cell a=5.896 b=5.896 c=5.896 alpha=60.00 beta=60.00 gamma=60.00
Site moments in Bohr magnetons follow the coordinates.
Sites, in units of the cell vectors:
K1 0.000 0.000 0.000  0.01
Cr1 0.750 0.750 0.750  4.29
Se1 0.873 0.376 0.376  0.01
Se2 0.376 0.376 0.873  0.01
Se3 0.376 0.873 0.376  0.01
Se4 0.376 0.376 0.376  0.01

=====

Density functional theory data (PBE) for an optimized crystal structure of K3CrSe4.

Values from the calculation:
Calculated volume: 252.7 Å³/f.u.

Unit cell a=9.575 b=9.636 c=10.956 alpha=90.00 beta=90.00 gamma=90.00
Site moments in Bohr magnetons follow the coordinates.
Sites, in units of the cell vectors:
Cr1 0.281 0.015 0.750  1.20
Cr2 0.781 0.485 0.750  1.20
Cr3 0.719 0.985 0.250  1.20
Cr4 0.219 0.515 0.250  1.20
K1 0.362 0.585 0.750  0.00
K2 0.862 0.915 0.750  0.00
K3 0.638 0.415 0.250  0.00
K4 0.138 0.085 0.250  0.00
K5 0.449 0.797 0.046  0.00
K6 0.949 0.703 0.454  0.00
K7 0.551 0.203 0.546  0.00
K8 0.051 0.297 0.954  0.00
K9 0.551 0.203 0.954  0.00
K10 0.051 0.297 0.546  0.00
K11 0.449 0.797 0.454  0.00
K12 0.949 0.703 0.046  0.00
Se1 0.165 0.951 0.579  -0.06
Se2 0.665 0.549 0.921  -0.06
Se3 0.835 0.049 0.079  -0.06
Se4 0.335 0.451 0.421  -0.06
Se5 0.835 0.049 0.421  -0.06
Se6 0.335 0.451 0.079  -0.06
Se7 0.165 0.951 0.921  -0.06
Se8 0.665 0.549 0.579  -0.06
Se9 0.301 0.250 0.750  -0.05
Se10 0.801 0.250 0.750  -0.05
Se11 0.699 0.750 0.250  -0.05
Se12 0.199 0.750 0.250  -0.05
Se13 0.499 0.919 0.750  -0.04
Se14 0.999 0.581 0.750  -0.04
Se15 0.501 0.081 0.250  -0.04
Se16 0.001 0.419 0.250  -0.04

=====

Density functional theory data (PBE) for an optimized crystal structure of KCr2Se.

Values from the calculation:
Calculated volume: 134.0 Å³/f.u.

Unit cell a=5.717 b=5.717 c=9.140 alpha=71.77 beta=71.77 gamma=90.00
Site moments in Bohr magnetons follow the coordinates.
Sites, in units of the cell vectors:
Cr1 0.875 0.125 0.250  3.78
Cr2 0.875 0.625 0.250  3.78
Cr3 0.375 0.125 0.750  3.81
Cr4 0.875 0.125 0.750  3.80
K1 0.500 0.500 0.000  0.02
K2 0.250 0.750 0.500  0.02
Se1 0.000 0.000 0.000  -0.09
Se2 0.750 0.250 0.500  -0.09

=====

Density functional theory data (PBE) for an optimized crystal structure of K3Cr5Se12.

Values from the calculation:
Calculated volume: 518.8 Å³/f.u.

Unit cell a=13.918 b=13.918 c=13.918 alpha=109.47 beta=109.47 gamma=109.47
Site moments in Bohr magnetons follow the coordinates.
Sites, in units of the cell vectors:
K1 0.750 0.375 0.125  0.00
K2 0.875 0.750 0.125  0.00
K3 0.375 0.750 0.625  0.00
K4 0.250 0.125 0.375  0.00
K5 0.875 0.125 0.250  0.00
K6 0.375 0.625 0.250  0.00
K7 0.625 0.375 0.750  0.00
K8 0.125 0.875 0.750  0.00
K9 0.750 0.875 0.625  0.00
K10 0.625 0.250 0.375  0.00
K11 0.125 0.250 0.875  0.00
K12 0.250 0.625 0.875  0.00
Cr1 0.125 0.375 0.250  1.65
Cr2 0.000 0.500 0.000  3.01
Cr3 0.000 0.000 0.000  3.01
Cr4 0.375 0.250 0.125  1.65
Cr5 0.500 0.000 0.500  3.01
Cr6 0.500 0.500 0.000  3.01
Cr7 0.125 0.750 0.375  1.65
Cr8 0.750 0.125 0.875  1.65
Cr9 0.750 0.625 0.375  1.65
Cr10 0.375 0.125 0.750  1.65
Cr11 0.625 0.875 0.250  1.65
Cr12 0.500 0.500 0.500  3.01
Cr13 0.500 0.000 0.000  3.01
Cr14 0.000 0.000 0.500  3.01
Cr15 0.250 0.375 0.625  1.65
Cr16 0.250 0.875 0.125  1.65
Cr17 0.000 0.500 0.500  3.01
Cr18 0.875 0.250 0.625  1.65
Cr19 0.625 0.750 0.875  1.65
Cr20 0.875 0.625 0.750  1.65
Se1 0.697 0.099 0.007  -0.17
Se2 0.310 0.507 0.408  -0.17
Se3 0.993 0.401 0.303  -0.17
Se4 0.507 0.197 0.099  -0.17
Se5 0.598 0.697 0.690  -0.17
Se6 0.993 0.592 0.190  -0.17
Se7 0.310 0.803 0.402  -0.17
Se8 0.092 0.902 0.099  -0.17
Se9 0.592 0.993 0.690  -0.17
Se10 0.697 0.598 0.190  -0.17
Se11 0.803 0.493 0.401  -0.17
Se12 0.810 0.908 0.007  -0.17
Se13 0.099 0.697 0.507  -0.17
Se14 0.401 0.408 0.098  -0.17
Se15 0.098 0.908 0.401  -0.17
Se16 0.402 0.099 0.592  -0.17
Se17 0.098 0.190 0.197  -0.17
Se18 0.493 0.690 0.092  -0.17
Se19 0.810 0.902 0.303  -0.17
Se20 0.099 0.402 0.092  -0.17
Se21 0.401 0.993 0.803  -0.17
Se22 0.592 0.599 0.402  -0.17
Se23 0.908 0.810 0.507  -0.17
Se24 0.803 0.310 0.902  -0.17
Se25 0.408 0.401 0.598  -0.17
Se26 0.092 0.190 0.493  -0.17
Se27 0.197 0.690 0.098  -0.17
Se28 0.190 0.098 0.697  -0.17
Se29 0.599 0.007 0.197  -0.17
Se30 0.901 0.598 0.908  -0.17
Se31 0.507 0.310 0.908  -0.17
Se32 0.598 0.901 0.408  -0.17
Se33 0.902 0.810 0.803  -0.17
Se34 0.902 0.092 0.599  -0.17
Se35 0.901 0.303 0.493  -0.17
Se36 0.190 0.092 0.993  -0.17
Se37 0.599 0.592 0.902  -0.17
Se38 0.408 0.007 0.310  -0.17
Se39 0.303 0.402 0.810  -0.17
Se40 0.197 0.507 0.599  -0.17
Se41 0.908 0.098 0.901  -0.17
Se42 0.690 0.197 0.598  -0.17
Se43 0.493 0.803 0.901  -0.17
Se44 0.007 0.408 0.810  -0.17
Se45 0.402 0.303 0.310  -0.17
Se46 0.007 0.599 0.697  -0.17
Se47 0.690 0.493 0.592  -0.17
Se48 0.303 0.901 0.993  -0.17

=====

Density functional theory data (PBE) for an optimized crystal structure of KCr2Se.

Values from the calculation:
Calculated volume: 101.2 Å³/f.u.

Unit cell a=3.374 b=3.374 c=8.887 alpha=90.00 beta=90.00 gamma=90.00
Site moments in Bohr magnetons follow the coordinates.
Sites, in units of the cell vectors:
Cr1 0.000 0.000 0.913  3.85
Cr2 0.000 0.000 0.587  3.85
K1 0.500 0.500 0.250  0.01
Se1 0.500 0.500 0.750  -0.14

=====

Density functional theory data (PBE) for an optimized crystal structure of KCr2Se.

Values from the calculation:
Calculated volume: 102.8 Å³/f.u.

Unit cell a=6.355 b=6.355 c=6.355 alpha=149.00 beta=128.31 gamma=61.51
Site moments in Bohr magnetons follow the coordinates.
Sites, in units of the cell vectors:
Cr1 0.065 0.065 0.000  3.94
Cr2 0.435 0.435 0.000  3.94
K1 0.750 0.250 0.500  0.03
Se1 0.250 0.750 0.500  -0.08

=====

Density functional theory data (PBE) for an optimized crystal structure of KCr2Se.

Values from the calculation:
Calculated volume: 104.7 Å³/f.u.

Unit cell a=6.113 b=6.113 c=6.113 alpha=146.01 beta=123.78 gamma=67.34
Site moments in Bohr magnetons follow the coordinates.
Sites, in units of the cell vectors:
Cr1 0.037 0.037 0.000  3.62
Cr2 0.791 0.291 0.500  4.11
K1 0.471 0.471 0.000  0.04
Se1 0.201 0.701 0.500  -0.10

=====

The DOS(E_F) results, record by record, are as follows: 1.03; 2.47; 1.09; 5.19; 6.54; 1.87; 4.60; 2.20; 6.48; 2.14; 1.94; 0.31 states/eV/f.u..
The raw formation energy results, record by record, are as follows: 0.3; 3.1; 0.6; -5.7; -4.5; 1.5; -7.2; 1.8; -9.7; 2.4; 1.9; 2.3 eV/f.u..